Entry 1:
Compound: HoZrNO
Source: OQMD
Functional: PBE
Structure: optimized geometry

Cell: 4.4496 4.4496 5.9117 Å, 90.00 90.00 90.07°
With the nearest neighbours (Å) after each atom.
Atoms (fractional coordinates):
1 Ho 0.2500 0.2500 0.0000  4 N 2.32
2 Ho 0.7500 0.7500 0.0000  4 N 2.32
3 N 0.2500 0.7500 0.1124  1 Zr 2.04
4 N 0.7500 0.2500 0.8876  1 Zr 2.04
5 O 0.2500 0.2500 0.5000  4 Zr 2.24
6 O 0.7500 0.7500 0.5000  4 Zr 2.24
7 Zr 0.2500 0.7500 0.4581  1 N 2.04, 4 O 2.24
8 Zr 0.7500 0.2500 0.5419  1 N 2.04, 4 O 2.24

Calculated values
Its uncorrected energy is -67.540 eV per cell. The calculated volume comes out at 58.5 Å³/f.u. As for the crystal system: orthorhombic.

***

Entry 2:
Compound: HoPa2N4
Source: OQMD
Functional: PBE
Structure: optimized geometry

Cell: 6.2720 6.2720 6.2720 Å, 108.26 108.26 111.93°
With the nearest neighbours (Å) after each atom.
Atoms (fractional coordinates):
1 Ho 0.0000 0.0000 0.0000  8 N 2.42-2.65
2 Ho 0.7500 0.2500 0.5000  8 N 2.42-2.65
3 N 0.6184 0.8647 0.1210  2 Pa 2.28-2.35, 1 Ho 2.42
4 N 0.5026 0.3816 0.2463  2 Pa 2.28-2.35, 1 Ho 2.42
5 N 0.0063 0.3853 0.2537  2 Pa 2.28-2.35, 1 Ho 2.42
6 N 0.2474 0.9937 0.3790  2 Pa 2.28-2.35, 1 Ho 2.42
7 N 0.6147 0.8684 0.6210  2 Pa 2.28-2.35, 1 Ho 2.42
8 N 0.1316 0.7526 0.7463  2 Pa 2.28-2.35, 1 Ho 2.42
9 N 0.1353 0.2563 0.7537  2 Pa 2.28-2.35, 1 Ho 2.42
10 N 0.7437 0.4974 0.8790  2 Pa 2.28-2.35, 1 Ho 2.42
11 Pa 0.2325 0.6250 0.1075  4 N 2.28-2.35
12 Pa 0.8750 0.7675 0.3925  4 N 2.28-2.35
13 Pa 0.3750 0.4825 0.6075  4 N 2.28-2.35
14 Pa 0.5175 0.1250 0.8925  4 N 2.28-2.35

Calculated values
Its uncorrected energy is -135.199 eV per cell. The calculated volume comes out at 94.8 Å³/f.u. As for the crystal system: tetragonal.

***

Entry 3:
Compound: HoPa3N6
Source: OQMD
Functional: PBE
Structure: optimized geometry

Cell: 6.7911 6.7911 3.6574 Å, 90.00 90.00 110.20°
With the nearest neighbours (Å) after each atom.
Atoms (fractional coordinates):
1 Ho 0.0000 0.0000 0.0000  8 N 2.47-2.73
2 N 0.4272 0.1677 0.0000  3 Pa 2.14-2.30
3 N 0.1677 0.4272 0.0000  3 Pa 2.14-2.30
4 N 0.8323 0.5728 0.0000  3 Pa 2.14-2.30
5 N 0.5728 0.8323 0.0000  3 Pa 2.14-2.30
6 N 0.8513 0.1487 0.5000  2 Pa 2.25, 2 Ho 2.47
7 N 0.1487 0.8513 0.5000  2 Pa 2.25, 2 Ho 2.47
8 Pa 0.5000 0.5000 0.0000  4 N 2.14
9 Pa 0.5000 0.0000 0.5000  6 N 2.25-2.30
10 Pa 0.0000 0.5000 0.5000  6 N 2.25-2.30

Calculated values
Its uncorrected energy is -97.363 eV per cell. The calculated volume comes out at 158.3 Å³/f.u. As for the crystal system: orthorhombic.

***

Entry 4:
Compound: Ho4SnPbN2
Source: OQMD
Functional: PBE
Structure: optimized geometry

Cell: 3.5188 3.5188 15.4144 Å, 90.00 90.00 120.00°
With the nearest neighbours (Å) after each atom.
Atoms (fractional coordinates):
1 Ho 0.3333 0.6667 0.1688  3 N 2.40
2 Ho 0.0000 0.0000 0.3372  3 N 2.42
3 Ho 0.0000 0.0000 0.6628  3 N 2.42
4 Ho 0.3333 0.6667 0.8312  3 N 2.40
5 N 0.6667 0.3333 0.2520  6 Ho 2.40-2.42
6 N 0.6667 0.3333 0.7480  6 Ho 2.40-2.42
7 Pb 0.0000 0.0000 0.0000  6 Ho 3.30, 6 Pb 3.52
8 Sn 0.3333 0.6667 0.5000  6 Ho 3.23, 6 Sn 3.52

Calculated values
Its uncorrected energy is -51.849 eV per cell. The calculated volume comes out at 165.3 Å³/f.u. As for the crystal system: hexagonal.

***

Entry 5:
Compound: Tb3HoPb2N2
Source: OQMD
Functional: PBE
Structure: optimized geometry

Cell: 3.5557 3.5557 15.6744 Å, 90.00 90.00 120.00°
With the nearest neighbours (Å) after each atom.
Atoms (fractional coordinates):
1 Ho 0.0000 0.0000 0.9173  3 N 2.41
2 N 0.3333 0.6667 0.5002  6 Tb 2.44
3 N 0.3333 0.6667 0.9978  3 Ho 2.41, 3 Tb 2.45
4 Pb 0.0000 0.0000 0.2497  6 Tb 3.32, 6 Pb 3.56
5 Pb 0.6667 0.3333 0.7513  3 Ho 3.31, 3 Tb 3.33, 6 Pb 3.56
6 Tb 0.6667 0.3333 0.0833  3 N 2.45
7 Tb 0.6667 0.3333 0.4165  3 N 2.44
8 Tb 0.0000 0.0000 0.5840  3 N 2.44

Calculated values
Its uncorrected energy is -51.282 eV per cell. The calculated volume comes out at 171.6 Å³/f.u. As for the crystal system: trigonal.

***

Entry 6:
Compound: HoTm3Pb2N2
Source: OQMD
Functional: PBE
Structure: optimized geometry

Cell: 3.5018 3.5018 15.3735 Å, 90.00 90.00 120.00°
With the nearest neighbours (Å) after each atom.
Atoms (fractional coordinates):
1 Ho 0.0000 0.0000 0.0837  3 N 2.42
2 N 0.6667 0.3333 0.5002  6 Tm 2.39
3 N 0.6667 0.3333 0.9977  3 Tm 2.37, 3 Ho 2.42
4 Pb 0.3333 0.6667 0.2514  3 Tm 3.26, 3 Ho 3.28, 6 Pb 3.50
5 Pb 0.0000 0.0000 0.7496  6 Tm 3.26-3.27, 6 Pb 3.50
6 Tm 0.0000 0.0000 0.4176  3 N 2.39
7 Tm 0.3333 0.6667 0.5829  3 N 2.39
8 Tm 0.3333 0.6667 0.9168  3 N 2.37

Calculated values
Its uncorrected energy is -50.986 eV per cell. The calculated volume comes out at 163.3 Å³/f.u. As for the crystal system: trigonal.

***

Entry 7:
Compound: HoTmPbN
Source: OQMD
Functional: PBE
Structure: optimized geometry

Cell: 3.5141 3.5141 15.4070 Å, 90.00 90.00 120.00°
With the nearest neighbours (Å) after each atom.
Atoms (fractional coordinates):
1 Ho 0.0000 0.0000 0.3330  3 N 2.42
2 Ho 0.0000 0.0000 0.6670  3 N 2.42
3 N 0.6667 0.3333 0.2472  3 Tm 2.38, 3 Ho 2.42
4 N 0.6667 0.3333 0.7528  3 Tm 2.38, 3 Ho 2.42
5 Pb 0.0000 0.0000 0.0000  6 Tm 3.27, 6 Pb 3.51
6 Pb 0.3333 0.6667 0.5000  6 Ho 3.28, 6 Pb 3.51
7 Tm 0.3333 0.6667 0.1667  3 N 2.38
8 Tm 0.3333 0.6667 0.8333  3 N 2.38

Calculated values
Its uncorrected energy is -51.072 eV per cell. The calculated volume comes out at 82.4 Å³/f.u. As for the crystal system: hexagonal.

***

Entry 8:
Compound: HoTmPbN
Source: OQMD
Functional: PBE
Structure: optimized geometry

Cell: 3.5111 3.5111 15.4225 Å, 90.00 90.00 120.00°
With the nearest neighbours (Å) after each atom.
Atoms (fractional coordinates):
1 Ho 0.3333 0.6667 0.0839  3 N 2.40
2 Ho 0.6667 0.3333 0.9161  3 N 2.40
3 N 0.0000 0.0000 0.0000  6 Ho 2.40
4 N 0.0000 0.0000 0.5000  6 Tm 2.39
5 Pb 0.6667 0.3333 0.2518  3 Tm 3.26, 3 Ho 3.29, 6 Pb 3.51
6 Pb 0.3333 0.6667 0.7482  3 Tm 3.26, 3 Ho 3.29, 6 Pb 3.51
7 Tm 0.3333 0.6667 0.4177  3 N 2.39
8 Tm 0.6667 0.3333 0.5823  3 N 2.39

Calculated values
Its uncorrected energy is -51.067 eV per cell. The calculated volume comes out at 82.3 Å³/f.u. As for the crystal system: trigonal.

***

Entry 9:
Compound: PmHo2N3
Source: OQMD
Functional: PBE
Structure: optimized geometry

Cell: 3.4881 3.4881 8.5412 Å, 90.00 90.00 120.00°
With the nearest neighbours (Å) after each atom.
Atoms (fractional coordinates):
1 Ho 0.6667 0.3333 0.1627  6 N 2.44-2.45
2 Ho 0.3333 0.6667 0.8373  6 N 2.44-2.45
3 N 0.0000 0.0000 0.0000  6 Ho 2.45
4 N 0.3333 0.6667 0.3243  3 Ho 2.44, 3 Pm 2.51
5 N 0.6667 0.3333 0.6757  3 Ho 2.44, 3 Pm 2.51
6 Pm 0.0000 0.0000 0.5000  6 N 2.51

Calculated values
Its uncorrected energy is -48.635 eV per cell. The calculated volume comes out at 90.0 Å³/f.u. As for the crystal system: trigonal.

***

Entry 10:
Compound: Pr3HoN
Source: OQMD
Functional: PBE
Structure: optimized geometry

Cell: 7.3051 7.3051 7.3051 Å, 120.01 90.05 119.93°
With the nearest neighbours (Å) after each atom.
Atoms (fractional coordinates):
1 Ho 0.7500 0.5000 0.2500  12 Pr 3.57-3.74
2 Ho 0.2500 0.5000 0.7500  12 Pr 3.57-3.74
3 N 0.0000 0.0000 0.0000  6 Pr 2.58
4 N 0.5000 0.0000 0.5000  6 Pr 2.58
5 Pr 0.7445 0.0000 0.2445  2 N 2.58
6 Pr 0.2380 0.9880 0.2500  2 N 2.58
7 Pr 0.2555 0.5000 0.2555  2 N 2.58
8 Pr 0.7445 0.5000 0.7445  2 N 2.58
9 Pr 0.7620 0.0120 0.7500  2 N 2.58
10 Pr 0.2555 0.0000 0.7555  2 N 2.58

Calculated values
Its uncorrected energy is -58.770 eV per cell. The calculated volume comes out at 137.9 Å³/f.u. As for the crystal system: orthorhombic.

***

Entry 11:
Compound: PrHo2N3
Source: OQMD
Functional: PBE
Structure: optimized geometry

Cell: 3.5079 3.5079 8.6181 Å, 90.00 90.00 120.00°
With the nearest neighbours (Å) after each atom.
Atoms (fractional coordinates):
1 Ho 0.6667 0.3333 0.1605  6 N 2.45
2 Ho 0.3333 0.6667 0.8395  6 N 2.45
3 N 0.0000 0.0000 0.0000  6 Ho 2.45
4 N 0.3333 0.6667 0.3198  3 Ho 2.45, 3 Pr 2.55
5 N 0.6667 0.3333 0.6802  3 Ho 2.45, 3 Pr 2.55
6 Pr 0.0000 0.0000 0.5000  6 N 2.55

Calculated values
Its uncorrected energy is -48.262 eV per cell. The calculated volume comes out at 91.8 Å³/f.u. As for the crystal system: trigonal.

***

Entry 12:
Compound: HoPt8N2
Source: OQMD
Functional: PBE
Structure: optimized geometry

Cell: 6.7714 6.7714 9.6334 Å, 130.55 130.55 30.25°
With the nearest neighbours (Å) after each atom.
Atoms (fractional coordinates):
1 Ho 0.5000 0.5000 0.0000  4 N 2.62
2 N 0.1999 0.1999 0.1784  4 Pt 2.05-2.17
3 N 0.8001 0.8001 0.8216  4 Pt 2.05-2.17
4 Pt 0.8594 0.8594 0.0833  1 N 2.08
5 Pt 0.8258 0.8258 0.3306  2 N 2.17
6 Pt 0.1486 0.1486 0.3379  1 N 2.05
7 Pt 0.5144 0.5144 0.3753  9 Pt 2.67-2.82
8 Pt 0.4856 0.4856 0.6247  9 Pt 2.67-2.82
9 Pt 0.8514 0.8514 0.6621  1 N 2.05
10 Pt 0.1742 0.1742 0.6694  2 N 2.17
11 Pt 0.1406 0.1406 0.9167  1 N 2.08

Calculated values
Its uncorrected energy is -70.290 eV per cell. The calculated volume comes out at 164.5 Å³/f.u. As for the crystal system: monoclinic.